# 1
Below is a relaxed structure of LiTaPt2, with properties calculated at the GGA-PBEsol level.

Cell and atoms, written as CIF:
```
data_LiTaPt2
_cell_length_a 2.7543
_cell_length_b 4.5560
_cell_length_c 4.7741
_cell_angle_alpha 90.00
_cell_angle_beta 90.00
_cell_angle_gamma 90.00
_space_group_name_H-M_alt 'P m m 2'
_space_group_IT_number 25
_space_group_name_Hall 'P 2 -2'
loop_
_atom_site_label
_atom_site_type_symbol
_atom_site_fract_x
_atom_site_fract_y
_atom_site_fract_z
Li1 Li 0.0000 0.0000 0.0000
Ta1 Ta 0.0000 0.5000 0.3806
Pt1 Pt 0.5000 0.0000 0.5224
Pt2 Pt 0.5000 0.5000 0.8963
```

Values from the calculation:
The calculation puts the total energy at -7.715 eV/atom.

=====

# 2
Below is a relaxed structure of LiTaPt2, with properties calculated at the GGA-PBEsol level.

Cell and atoms, written as CIF:
```
data_LiTaPt2
_cell_length_a 5.7151
_cell_length_b 7.5321
_cell_length_c 2.7722
_cell_angle_alpha 90.00
_cell_angle_beta 90.00
_cell_angle_gamma 90.00
_space_group_name_H-M_alt 'C m m m'
_space_group_IT_number 65
_space_group_name_Hall '-C 2 2'
loop_
_atom_site_label
_atom_site_type_symbol
_atom_site_fract_x
_atom_site_fract_y
_atom_site_fract_z
Li1 Li 0.0000 0.0000 0.0000
Ta1 Ta 0.0000 0.5000 0.0000
Pt1 Pt 0.2500 0.2500 0.5000
```

Values from the calculation:
The calculation puts the total energy at -7.698 eV/atom.

=====

# 3
Below is a relaxed structure of LiTaPt2, with properties calculated at the GGA-PBEsol level.

Cell and atoms, written as CIF:
```
data_LiTaPt2
_cell_length_a 3.7941
_cell_length_b 3.7941
_cell_length_c 8.1397
_cell_angle_alpha 90.00
_cell_angle_beta 90.00
_cell_angle_gamma 90.00
_space_group_name_H-M_alt 'I -4 m 2'
_space_group_IT_number 119
_space_group_name_Hall 'I -4 -2'
loop_
_atom_site_label
_atom_site_type_symbol
_atom_site_fract_x
_atom_site_fract_y
_atom_site_fract_z
Li1 Li 0.0000 0.0000 0.0000
Ta1 Ta 0.0000 0.5000 0.7500
Pt1 Pt 0.0000 0.0000 0.5000
Pt2 Pt 0.0000 0.5000 0.2500
```

Values from the calculation:
The calculation puts the total energy at -7.655 eV/atom.

=====

# 4
Below is a relaxed structure of LiTaPt2, with properties calculated at the GGA-PBEsol level.

Cell and atoms, written as CIF:
```
data_LiTaPt2
_cell_length_a 4.7005
_cell_length_b 4.7005
_cell_length_c 2.7625
_cell_angle_alpha 90.00
_cell_angle_beta 90.00
_cell_angle_gamma 90.00
_space_group_name_H-M_alt 'P 4/m m m'
_space_group_IT_number 123
_space_group_name_Hall '-P 4 2'
loop_
_atom_site_label
_atom_site_type_symbol
_atom_site_fract_x
_atom_site_fract_y
_atom_site_fract_z
Li1 Li 0.0000 0.0000 0.0000
Ta1 Ta 0.5000 0.5000 0.0000
Pt1 Pt 0.0000 0.5000 0.5000
```

Values from the calculation:
The calculation puts the total energy at -7.660 eV/atom.

=====

# 5
Below is a relaxed structure of LiTaPt2, with properties calculated at the GGA-PBEsol level.

Cell and atoms, written as CIF:
```
data_LiTaPt2
_cell_length_a 3.9400
_cell_length_b 3.9400
_cell_length_c 7.4990
_cell_angle_alpha 90.00
_cell_angle_beta 90.00
_cell_angle_gamma 90.00
_space_group_name_H-M_alt 'I 4/m m m'
_space_group_IT_number 139
_space_group_name_Hall '-I 4 2'
loop_
_atom_site_label
_atom_site_type_symbol
_atom_site_fract_x
_atom_site_fract_y
_atom_site_fract_z
Li1 Li 0.0000 0.0000 0.0000
Ta1 Ta 0.0000 0.0000 0.5000
Pt1 Pt 0.0000 0.5000 0.2500
```

Values from the calculation:
The calculation puts the total energy at -7.744 eV/atom.

=====

# 6
Below is a relaxed structure of LiTc2Pt, with properties calculated at the GGA-PBEsol level.

Cell and atoms, written as CIF:
```
data_LiTc2Pt
_cell_length_a 2.6182
_cell_length_b 4.1122
_cell_length_c 5.1226
_cell_angle_alpha 90.00
_cell_angle_beta 99.88
_cell_angle_gamma 90.00
_space_group_name_H-M_alt 'P 1 m 1'
_space_group_IT_number 6
_space_group_name_Hall 'P -2y'
loop_
_atom_site_label
_atom_site_type_symbol
_atom_site_fract_x
_atom_site_fract_y
_atom_site_fract_z
Li1 Li 0.0000 0.0000 0.0000
Tc1 Tc 0.2243 0.5000 0.7475
Tc2 Tc 0.4369 0.0000 0.5137
Pt1 Pt 0.8341 0.5000 0.2198
```

Values from the calculation:
Its polymorph energy (0 for the lowest one) is 0 meV/atom.

=====

# 7
Below is a relaxed structure of LiTc2Pt, with properties calculated at the GGA-PBEsol level.

Cell and atoms, written as CIF:
```
data_LiTc2Pt
_cell_length_a 3.6997
_cell_length_b 4.1514
_cell_length_c 7.1536
_cell_angle_alpha 90.00
_cell_angle_beta 90.00
_cell_angle_gamma 90.00
_space_group_name_H-M_alt 'I m m 2'
_space_group_IT_number 44
_space_group_name_Hall 'I 2 -2'
loop_
_atom_site_label
_atom_site_type_symbol
_atom_site_fract_x
_atom_site_fract_y
_atom_site_fract_z
Li1 Li 0.0000 0.0000 0.0000
Tc1 Tc 0.0000 0.0000 0.4788
Tc2 Tc 0.0000 0.5000 0.7574
Pt1 Pt 0.0000 0.5000 0.2525
```

Values from the calculation:
Its polymorph energy (0 for the lowest one) is 75 meV/atom.

=====

# 8
Below is a relaxed structure of Li2TePt, with properties calculated at the GGA-PBEsol level.

Cell and atoms, written as CIF:
```
data_Li2TePt
_cell_length_a 6.3596
_cell_length_b 6.3596
_cell_length_c 6.3596
_cell_angle_alpha 90.00
_cell_angle_beta 90.00
_cell_angle_gamma 90.00
_space_group_name_H-M_alt 'F -4 3 m'
_space_group_IT_number 216
_space_group_name_Hall 'F -4 2 3'
loop_
_atom_site_label
_atom_site_type_symbol
_atom_site_fract_x
_atom_site_fract_y
_atom_site_fract_z
Li1 Li 0.0000 0.0000 0.0000
Li2 Li 0.2500 0.2500 0.2500
Te1 Te 0.2500 0.2500 0.7500
Pt1 Pt 0.0000 0.0000 0.5000
```

Values from the calculation:
The calculation puts the energy relative to the elements, uncorrected at -633.3 meV per atom.